Material: NaGa2Te4Au
Method: DFT, PBE-GGA
State: optimized geometry

Summary:
Size of the total moment: 0.00 μB/atom
Symmetry: I222, No. 23
E_form (uncorrected): -0.17 eV per atom

extended XYZ file:
```
8
Lattice="6.7259 0.0000 0.0000 3.3630 5.9448 -0.5832 3.3630 0.0787 5.9728" Properties=species:S:1:pos:R:3 pbc="T T T"
Te 4.4335 0.4913 3.0072
Te 9.0184 2.9804 5.2343
Te 2.2924 3.0431 0.1553
Te 11.1595 5.5322 2.3824
Na 0.0000 0.0000 0.0000
Au 3.3630 3.0117 2.6948
Ga 6.7259 2.1198 3.6917
Ga 6.7259 3.9037 1.6979
```